No. 1
First-principles (PBE) data for a relaxed Sr2Re3 crystal, as listed in the Alexandria database.

It has space group Fdd2 (No. 43), with a = 9.673 Å, b = 15.732 Å, c = 6.341 Å, α = 90.00°, β = 90.00° and γ = 90.00°. The distinct sites, in fractional coordinates, are Sr at (0.089, 0.200, 0.000), Re at (0.000, 0.000, 0.272) and Re at (0.088, 0.127, 0.482).

The calculation puts the total energy at -300.275 eV/cell. The calculation puts the formation energy at 0.635 eV/atom.

=====

No. 2
First-principles (PBE) data for a relaxed SrCr2Ag crystal, as listed in the Alexandria database.

It has space group P4/mmm (No. 123), with a = 2.734 Å, b = 2.734 Å, c = 9.466 Å, α = 90.00°, β = 90.00° and γ = 90.00°. The distinct sites, in fractional coordinates, are Sr at (0.000, 0.000, 0.000), Cr at (0.500, 0.500, 0.281) and Ag at (0.000, 0.000, 0.500).

The calculation puts the total energy at -18.676 eV/cell. The calculation puts the formation energy at 1.276 eV/atom. The calculation puts the energy above the most stable polymorph in this dataset at 859 meV/atom.

=====

No. 3
First-principles (PBE) data for a relaxed PS2IN crystal, as listed in the Alexandria database.

It has space group P4/mmm (No. 123), with a = 4.953 Å, b = 4.953 Å, c = 3.358 Å, α = 90.00°, β = 90.00° and γ = 90.00°. The distinct sites, in fractional coordinates, are P at (0.000, 0.000, 0.000), S at (0.000, 0.500, 0.000), I at (0.500, 0.500, 0.500) and N at (0.000, 0.000, 0.500).

The calculation puts the total energy at -19.460 eV/cell. The value obtained for the raw formation energy is 0.8161 eV per atom. The calculation puts the energy above the most stable polymorph in this dataset at 0 meV/atom.

=====

No. 4
First-principles (PBE) data for a relaxed TmTiRh2 crystal, as listed in the Alexandria database.

It has space group R-3m (No. 166, hexagonal axes), with a = 3.3006 Å, b = 3.3006 Å, c = 23.0375 Å, α = 90.00°, β = 90.00° and γ = 120.00°. The distinct sites, in fractional coordinates, are Tm at (0.0000, 0.0000, 0.0000), Ti at (0.0000, 0.0000, 0.5000) and Rh at (0.0000, 0.0000, 0.2418).

The calculation puts the total energy at -86.912 eV/cell. The calculation puts the formation energy at -0.475 eV/atom. The calculation puts the energy above the most stable polymorph in this dataset at 348 meV/atom.